[1]
## KHg6O8 (PBE)

Data for a relaxed KHg6O8 crystal.

Output
E_form (uncorrected), eV per atom: -0.18
Space group: R-3, No. 148
Total energy, eV/atom: -3.017
Total moment, μB per formula unit: 0.00
N(E_F), states/eV/f.u.: 5.080

```
KHg6O8
1.0
-5.586 1.818 2.117
1.702 -3.740 4.701
3.343 5.065 1.467
K Hg O
1 6 8
Cartesian
0.000 0.000 0.000
-0.139 4.231 5.098
1.354 1.055 6.400
-2.359 1.368 6.039
-0.402 -1.087 3.187
-1.894 2.089 1.885
1.818 1.775 2.246
-0.369 2.147 5.660
-0.171 0.996 2.625
-1.849 -0.753 5.382
-1.779 4.173 3.518
2.739 1.752 4.731
1.308 3.897 2.902
1.239 -1.029 4.767
-3.279 1.391 3.554
```

---

[2]
## SrLi2CaSb2 (PBE)

Data for a relaxed SrLi2CaSb2 crystal.

Output
E_form (uncorrected), eV per atom: -0.94
Space group: P-3m1, No. 164
Total energy, eV/atom: -3.565
Total moment, μB per formula unit: 0.00

```
SrLi2CaSb2
1.0
4.788 0.000 0.000
-2.394 4.146 0.000
0.000 0.000 8.003
Sr Li Ca Sb
1 2 1 2
Cartesian
0.000 0.000 0.000
0.000 2.764 5.550
2.394 1.382 2.452
0.000 0.000 4.001
0.000 2.764 2.137
2.394 1.382 5.865
```

---

[3]
## BaY2Sb (PBE)

Data for a relaxed BaY2Sb crystal.

Output
E_form (uncorrected), eV per atom: -0.32
Space group: Imm2, No. 44
Total energy, eV/atom: -5.062
Total moment, μB per formula unit: 0.00
N(E_F), states/eV/f.u.: 4.263

```
BaY2Sb
1.0
6.956 -0.004 0.003
5.653 4.053 0.003
1.968 0.632 4.809
Ba Sb Y
1 1 2
Cartesian
6.955 2.233 2.557
10.724 3.443 3.708
2.446 0.785 4.592
3.710 1.191 1.175
```